A plane-wave DFT calculation with PBE-GGA was carried out for a geometry-optimized Ac2La4NdEr structure.

Properties
D(E_F) = 14.66 states/eV per cell
Energy of formation = 0.253 eV per formula unit
Mass density = 7.252 g/cm³
E_tot = -4.63 eV/atom
Total moment = 0.00 μB per atom

Cell: 5.305 5.341 10.676 Å, 90.00 90.06 90.00°
Element x y z (fractional)
Ac1 0.000 0.000 0.000
Ac2 0.500 0.500 0.500
La1 0.000 0.500 0.252
La2 0.000 0.500 0.748
La3 0.499 0.000 0.747
La4 0.501 0.000 0.253
Nd1 0.500 0.500 0.000
Er1 0.000 0.000 0.500